Computed, not measured: a geometry-optimized Rb4PmNp3O12 structure at the PBE-GGA level of DFT.

Cell and atoms, written as POSCAR:
```
Rb4PmNp3O12
1.0
-6.012 3.812 -2.535
3.472 -3.376 -5.801
-2.245 -5.224 4.977
Rb Pm Np O
4 1 3 12
Direct
0.500 0.500 0.500 Rb
0.000 0.000 0.500 Rb
0.500 0.000 0.000 Rb
0.000 0.500 0.000 Rb
0.000 0.000 0.000 Pm
0.500 0.000 0.500 Np
0.500 0.500 0.000 Np
0.000 0.500 0.500 Np
0.250 0.500 0.750 O
0.730 0.000 0.730 O
0.270 0.000 0.270 O
0.750 0.500 0.250 O
0.730 0.730 0.000 O
0.270 0.270 0.000 O
0.750 0.250 0.500 O
0.250 0.750 0.500 O
0.500 0.250 0.750 O
0.000 0.730 0.730 O
0.500 0.750 0.250 O
0.000 0.270 0.270 O
```

Fermi-level density of states	6.83	states/eV per cell
uncorrected formation energy	-2.6843	eV per atom